Record 1
First-principles (PBE-GGA) data for a relaxed TbEr2HfAs4 crystal, as listed in the Alexandria database.

Values from the calculation:
symmetry: P2/m (10)
calculated volume: 23.00 A^3/atom
raw total energy: -6.678 eV/atom
DOS(E_F): 1.35 states/eV/f.u.
total moment: 0.0000 μB/atom
formation enthalpy at 0 K: -1.389 eV per atom

abc: 4.0182 6.9674 6.9627
angles: 109.27 90.00 90.00
Fractional positions:
1 As 0.0000 0.7584 0.2467
2 As 0.5000 0.2378 0.2403
3 As 0.0000 0.2416 0.7533
4 As 0.5000 0.7622 0.7597
5 Tb 0.5000 0.5000 0.0000
6 Er 0.5000 0.0000 0.5000
7 Er 0.0000 0.5000 0.5000
8 Hf 0.0000 0.0000 0.0000


Record 2
First-principles (PBE-GGA) data for a relaxed Tb2ErHfAs4 crystal, as listed in the Alexandria database.

Values from the calculation:
symmetry: P2/m (10)
calculated volume: 23.24 A^3/atom
raw total energy: -6.699 eV/atom
DOS(E_F): 1.37 states/eV/f.u.
total moment: 0.0000 μB/atom
formation enthalpy at 0 K: -1.402 eV per atom

abc: 4.0313 6.9873 6.9916
angles: 109.28 90.00 90.00
Fractional positions:
1 As 0.0000 0.7546 0.2403
2 As 0.5000 0.7621 0.7646
3 As 0.0000 0.2454 0.7597
4 As 0.5000 0.2379 0.2354
5 Tb 0.0000 0.5000 0.5000
6 Tb 0.5000 0.0000 0.5000
7 Er 0.5000 0.5000 0.0000
8 Hf 0.0000 0.0000 0.0000


Record 3
First-principles (PBE-GGA) data for a relaxed Y2ErHfAs4 crystal, as listed in the Alexandria database.

Values from the calculation:
symmetry: P2/m (10)
calculated volume: 23.11 A^3/atom
raw total energy: -7.162 eV/atom
DOS(E_F): 1.41 states/eV/f.u.
total moment: 0.0000 μB/atom
formation enthalpy at 0 K: -1.407 eV per atom

abc: 4.0235 6.9755 6.9798
angles: 109.27 90.00 90.00
Fractional positions:
1 Hf 0.5000 0.5000 0.0000
2 As 0.5000 0.2549 0.2411
3 As 0.0000 0.7381 0.2361
4 As 0.0000 0.2619 0.7639
5 As 0.5000 0.7451 0.7589
6 Y 0.5000 0.0000 0.5000
7 Y 0.0000 0.5000 0.5000
8 Er 0.0000 0.0000 0.0000


Record 4
First-principles (PBE-GGA) data for a relaxed ErHfZr2As4 crystal, as listed in the Alexandria database.

Values from the calculation:
symmetry: P2/m (10)
calculated volume: 21.10 A^3/atom
raw total energy: -7.426 eV/atom
DOS(E_F): 3.69 states/eV/f.u.
total moment: 0.0000 μB/atom
formation enthalpy at 0 K: -1.149 eV per atom

abc: 3.8965 6.7660 6.7834
angles: 109.32 90.00 90.00
Fractional positions:
1 As 0.5000 0.7563 0.7505
2 As 0.0000 0.7577 0.2542
3 As 0.0000 0.2423 0.7458
4 As 0.5000 0.2437 0.2495
5 Zr 0.5000 0.0000 0.5000
6 Zr 0.0000 0.5000 0.5000
7 Hf 0.0000 0.0000 0.0000
8 Er 0.5000 0.5000 0.0000